Entry from OQMD: crystalline Mg6Cd2Pd at its relaxed geometry (GGA-PBE).

Cell lengths 8.081, 8.081, 3.278 Å; angles 90.00, 90.00, 120.00 degrees
Fractional positions:
Mg 0.000 0.368 0.000
Mg 0.000 0.735 0.500
Mg 0.265 0.265 0.500
Mg 0.368 0.000 0.000
Mg 0.632 0.632 0.000
Mg 0.735 0.000 0.500
Cd 0.333 0.667 0.500
Cd 0.667 0.333 0.500
Pd 0.000 0.000 0.000

Its calculated total energy is -18.578 eV per cell. The calculated volume comes out at 20.59 A^3/atom.


Entry from OQMD: crystalline Mg3CdPd at its relaxed geometry (GGA-PBE).

Cell lengths 7.428, 7.428, 7.428 Å; angles 53.67, 53.67, 53.67 degrees
Fractional positions:
Mg 0.243 0.750 0.257
Mg 0.250 0.743 0.757
Mg 0.257 0.243 0.750
Mg 0.743 0.757 0.250
Mg 0.750 0.257 0.243
Mg 0.757 0.250 0.743
Cd 0.250 0.250 0.250
Cd 0.750 0.750 0.750
Pd 0.000 0.000 0.000
Pd 0.500 0.500 0.500

Its calculated total energy is -22.765 eV per cell. The calculated volume comes out at 24.68 A^3/atom.


Entry from OQMD: crystalline MgCdSiPd at its relaxed geometry (GGA-PBE).

Cell lengths 6.487, 6.487, 6.487 Å; angles 90.00, 90.00, 90.00 degrees
Fractional positions:
Mg 0.000 0.000 0.000
Mg 0.000 0.500 0.500
Mg 0.500 0.000 0.500
Mg 0.500 0.500 0.000
Cd 0.250 0.250 0.750
Cd 0.250 0.750 0.250
Cd 0.750 0.250 0.250
Cd 0.750 0.750 0.750
Si 0.000 0.000 0.500
Si 0.000 0.500 0.000
Si 0.500 0.000 0.000
Si 0.500 0.500 0.500
Pd 0.250 0.250 0.250
Pd 0.250 0.750 0.750
Pd 0.750 0.250 0.750
Pd 0.750 0.750 0.250

Its calculated total energy is -54.128 eV per cell. The calculated volume comes out at 17.06 A^3/atom. The distance to the lowest polymorph of the same formula comes out at 0 meV per atom.